# 1
{"formula": "NaTeH2", "functional": "PBE-GGA", "state": "relaxed", "lattice_angstrom": [[-1.709, -2.491, 7.578], [-1.453, -5.610, -2.172], [7.398, -1.819, -0.249]], "species": ["H", "H", "H", "H", "H", "H", "H", "H", "Te", "Te", "Te", "Te", "Na", "Na", "Na", "Na"], "fractional_positions": [[0.025, 0.565, 0.962], [0.975, 0.565, 0.038], [0.025, 0.065, 0.462], [0.668, 0.071, 0.604], [0.332, 0.571, 0.896], [0.332, 0.071, 0.396], [0.668, 0.571, 0.104], [0.975, 0.065, 0.538], [0.741, 0.265, 0.751], [0.741, 0.765, 0.251], [0.259, 0.265, 0.249], [0.259, 0.765, 0.749], [0.500, 0.082, 0.000], [0.000, 0.467, 0.500], [0.500, 0.582, 0.500], [0.000, 0.967, 0.000]], "m_tot_mub_per_fu": 0.000, "space_group": "C2, No. 5", "final_energy_ev_per_atom": -3.077}

# 2
{"formula": "Na2TeH2", "functional": "PBE-GGA", "state": "relaxed", "lattice_angstrom": [[7.125, 0.000, 0.000], [0.000, 7.125, 0.000], [0.000, 0.000, 4.135]], "species": ["H", "H", "H", "H", "Te", "Te", "Na", "Na", "Na", "Na"], "fractional_positions": [[0.538, 0.038, 0.000], [0.462, 0.962, 0.000], [0.038, 0.462, 0.000], [0.962, 0.538, 0.000], [0.000, 0.000, 0.000], [0.500, 0.500, 0.000], [0.264, 0.236, 0.500], [0.736, 0.764, 0.500], [0.764, 0.264, 0.500], [0.236, 0.736, 0.500]], "m_tot_mub_per_fu": 0.000, "space_group": "P4/mbm, No. 127", "final_energy_ev_per_atom": -2.928}